Arrangement a

This record from Alexandria describes a relaxed structure of V2MoPb2. The functional is GGA-PBE.

Geometry as POSCAR:
```
V2MoPb2
1.0
6.5380 0.0000 0.0000
0.0000 6.5380 0.0000
0.0000 0.0000 4.5208
V Mo Pb
4 2 4
Direct
0.1362 0.3638 0.0000
0.3638 0.8638 0.0000
0.6362 0.1362 0.0000
0.8638 0.6362 0.0000
0.0000 0.0000 0.0000
0.5000 0.5000 0.0000
0.1791 0.6791 0.5000
0.3209 0.1791 0.5000
0.6791 0.8209 0.5000
0.8209 0.3209 0.5000
```

Results
Space-group type: P4/mbm, No. 127

Arrangement b

This record from Alexandria describes a relaxed structure of V2MoPb2. The functional is GGA-PBE.

Geometry as POSCAR:
```
V2MoPb2
1.0
-2.1411 2.1411 5.8323
2.1411 -2.1411 5.8323
2.1411 2.1411 -5.8323
V Mo Pb
2 1 2
Direct
0.0806 0.0806 0.0000
0.9194 0.9194 0.0000
0.5000 0.5000 0.0000
0.2500 0.7500 0.5000
0.7500 0.2500 0.5000
```

Results
Space-group type: I4/mmm, No. 139

In kJ/mol of atoms, relative to the most stable structure: arrangement a 0.0; arrangement b 41.9.